## NpPaCoO6 (PBE+U)

Data for crystalline NpPaCoO6 at its relaxed geometry.

Structure (POSCAR):
```
NpPaCoO6
1.0
5.804 0.000 0.000
-2.902 5.027 0.000
0.000 0.000 8.683
Np Pa Co O
2 2 2 12
direct
0.333 0.667 0.250 Np
0.667 0.333 0.750 Np
0.333 0.667 0.750 Pa
0.667 0.333 0.250 Pa
0.000 0.000 0.000 Co
0.000 0.000 0.500 Co
0.006 0.343 0.131 O
0.006 0.663 0.369 O
0.337 0.343 0.369 O
0.337 0.994 0.131 O
0.343 0.006 0.631 O
0.343 0.337 0.869 O
0.657 0.663 0.131 O
0.657 0.994 0.369 O
0.663 0.006 0.869 O
0.663 0.657 0.631 O
0.994 0.337 0.631 O
0.994 0.657 0.869 O
```

Properties
- D(E_F): 0.8237 states/eV per atom
- VASP energy: -8.895 eV per atom
- Total magnetic moment: 10.00 Bohr magnetons per cell